(1)
This record from the Alexandria database describes a relaxed DyTlIn crystal. The functional is GGA-PBE. Values from VASP.

Structure (Quantum ESPRESSO input):
```
&SYSTEM
  ibrav = 0, nat = 12, ntyp = 3
/
ATOMIC_SPECIES
Dy 162.50 Dy.upf
Tl 204.38 Tl.upf
In 114.82 In.upf
CELL_PARAMETERS angstrom
0.000 5.822 9.562
3.534 0.000 9.562
3.534 5.822 0.000
ATOMIC_POSITIONS angstrom
Dy 2.650 0.585 7.171
Dy 4.417 3.496 11.952
Dy 2.650 8.148 7.171
Dy 4.417 11.059 11.952
Tl 3.534 2.911 4.781
Tl 1.767 5.822 4.781
Tl 1.767 2.911 9.562
Tl 3.534 5.822 9.562
In 0.883 1.455 0.014
In 0.883 1.455 4.766
In 6.184 10.188 14.357
In 6.184 10.188 19.109
```

Results
Its symmetry is Fddd. The value obtained for the formation energy from the elements is -0.0077 eV per atom. The density of states at the Fermi level comes out at 8.56 states/eV per cell.

(2)
This record from the Alexandria database describes a relaxed ZrScTe2 crystal. The functional is GGA-PBE. Values from VASP.

Structure (Quantum ESPRESSO input):
```
&SYSTEM
  ibrav = 0, nat = 4, ntyp = 3
/
ATOMIC_SPECIES
Zr 91.22 Zr.upf
Sc 44.96 Sc.upf
Te 127.60 Te.upf
CELL_PARAMETERS angstrom
-1.861 2.303 6.471
1.861 -2.303 6.471
1.861 2.303 -6.471
ATOMIC_POSITIONS angstrom
Zr 0.000 0.000 0.000
Sc 1.861 0.000 4.422
Te 0.000 0.000 7.035
Te 0.000 2.303 4.118
```

Results
Its symmetry is Imm2. The density of states at the Fermi level comes out at 3.98 states/eV per cell. Its energy relative to the elements, uncorrected is -0.658 eV per atom.

(3)
This record from the Alexandria database describes a relaxed CeInS3 crystal. The functional is GGA-PBE. Values from VASP.

Structure (Quantum ESPRESSO input):
```
&SYSTEM
  ibrav = 0, nat = 10, ntyp = 3
/
ATOMIC_SPECIES
Ce 140.12 Ce.upf
In 114.82 In.upf
S 32.06 S.upf
CELL_PARAMETERS angstrom
7.379 0.000 0.000
0.000 4.383 0.000
-0.385 0.000 8.480
ATOMIC_POSITIONS angstrom
Ce 1.664 1.096 0.542
Ce 5.330 3.287 7.937
In 2.321 3.287 4.984
In 4.673 1.096 3.496
S 0.255 3.287 1.437
S 1.970 1.096 3.724
S 2.469 3.287 7.435
S 4.525 1.096 1.045
S 5.024 3.287 4.756
S 6.739 1.096 7.042
```

Results
Its symmetry is P2_1/m. The density of states at the Fermi level comes out at 13.08 states/eV per cell. Its energy relative to the elements, uncorrected is -1.199 eV per atom.

(4)
This record from the Alexandria database describes a relaxed LaPrEr2Hg4 crystal. The functional is GGA-PBE. Values from VASP.

Structure (Quantum ESPRESSO input):
```
&SYSTEM
  ibrav = 0, nat = 8, ntyp = 4
/
ATOMIC_SPECIES
La 138.91 La.upf
Pr 140.91 Pr.upf
Er 167.26 Er.upf
Hg 200.59 Hg.upf
CELL_PARAMETERS angstrom
2.687 1.551 8.767
-2.687 1.551 8.767
0.000 -3.102 8.767
ATOMIC_POSITIONS angstrom
La 0.000 0.000 0.000
Pr 0.000 0.000 13.151
Er 0.000 0.000 6.565
Er 0.000 0.000 19.737
Hg 0.000 0.000 3.304
Hg 0.000 0.000 9.874
Hg 0.000 0.000 16.427
Hg 0.000 0.000 22.998
```

Results
Its symmetry is R-3m. The value obtained for the formation energy from the elements is -0.4623 eV per atom. The density of states at the Fermi level comes out at 8.62 states/eV per cell.

(5)
This record from the Alexandria database describes a relaxed VZnNi crystal. The functional is GGA-PBE. Values from VASP.

Structure (Quantum ESPRESSO input):
```
&SYSTEM
  ibrav = 0, nat = 6, ntyp = 3
/
ATOMIC_SPECIES
V 50.94 V.upf
Zn 65.41 Zn.upf
Ni 58.69 Ni.upf
CELL_PARAMETERS angstrom
-2.135 2.430 3.625
2.135 -2.430 3.625
2.135 2.430 -3.625
ATOMIC_POSITIONS angstrom
V 0.000 0.000 0.000
V 0.000 2.430 0.000
Zn 2.135 1.215 1.175
Zn 0.000 1.215 2.450
Ni 2.135 1.215 -1.233
Ni 0.000 1.215 4.858
```

Results
Its symmetry is Imma. The value obtained for the formation energy from the elements is -0.1019 eV per atom. The density of states at the Fermi level comes out at 2.46 states/eV per cell.

(6)
This record from the Alexandria database describes a relaxed Ca2Cu3Ge4Pt crystal. The functional is GGA-PBE. Values from VASP.

Structure (Quantum ESPRESSO input):
```
&SYSTEM
  ibrav = 0, nat = 10, ntyp = 4
/
ATOMIC_SPECIES
Ca 40.08 Ca.upf
Cu 63.55 Cu.upf
Ge 72.64 Ge.upf
Pt 195.08 Pt.upf
CELL_PARAMETERS angstrom
4.240 0.000 0.000
0.000 4.240 0.000
0.000 0.000 10.129
ATOMIC_POSITIONS angstrom
Ca 0.000 2.120 2.515
Ca 2.120 0.000 7.614
Cu 0.000 0.000 0.000
Cu 0.000 2.120 6.382
Cu 2.120 0.000 3.748
Ge 0.000 0.000 5.065
Ge 0.000 2.120 8.783
Ge 2.120 0.000 1.346
Ge 2.120 2.120 5.065
Pt 2.120 2.120 0.000
```

Results
Its symmetry is P-4m2. The value obtained for the formation energy from the elements is -0.4539 eV per atom. The density of states at the Fermi level comes out at 3.75 states/eV per cell.

(7)
This record from the Alexandria database describes a relaxed UAgSbN crystal. The functional is GGA-PBE. Values from VASP.

Structure (Quantum ESPRESSO input):
```
&SYSTEM
  ibrav = 0, nat = 8, ntyp = 4
/
ATOMIC_SPECIES
U 238.03 U.upf
Ag 107.87 Ag.upf
Sb 121.76 Sb.upf
N 14.01 N.upf
CELL_PARAMETERS angstrom
3.973 0.000 0.000
0.000 3.973 0.000
0.000 0.000 9.777
ATOMIC_POSITIONS angstrom
U 0.993 0.993 1.122
U 2.980 2.980 8.655
Ag 0.993 2.980 4.889
Ag 2.980 0.993 4.889
Sb 0.993 0.993 7.001
Sb 2.980 2.980 2.777
N 0.993 2.980 0.000
N 2.980 0.993 0.000
```

Results
Its symmetry is P4/nmm. The density of states at the Fermi level comes out at 9.50 states/eV per cell. Its energy relative to the elements, uncorrected is -0.708 eV per atom.

(8)
This record from the Alexandria database describes a relaxed AcTb3Pr crystal. The functional is GGA-PBE. Values from VASP.

Structure (Quantum ESPRESSO input):
```
&SYSTEM
  ibrav = 0, nat = 10, ntyp = 3
/
ATOMIC_SPECIES
Ac 227.00 Ac.upf
Tb 158.93 Tb.upf
Pr 140.91 Pr.upf
CELL_PARAMETERS angstrom
5.896 0.000 0.000
0.000 7.216 0.000
-2.949 0.000 8.442
ATOMIC_POSITIONS angstrom
Ac 0.002 1.804 1.905
Ac 2.946 5.412 6.537
Tb -0.001 5.412 2.124
Tb -0.001 0.016 5.205
Tb -0.001 3.591 5.205
Tb 2.949 3.624 3.237
Tb 2.949 7.199 3.237
Tb 2.948 1.804 6.318
Pr 0.000 1.804 8.361
Pr 2.947 5.412 0.081
```

Results
Its symmetry is P2_1/m. The value obtained for the formation energy from the elements is 0.1243 eV per atom. The density of states at the Fermi level comes out at 17.88 states/eV per cell.

(9)
This record from the Alexandria database describes a relaxed VNi2GeSb crystal. The functional is GGA-PBE. Values from VASP.

Structure (Quantum ESPRESSO input):
```
&SYSTEM
  ibrav = 0, nat = 5, ntyp = 4
/
ATOMIC_SPECIES
V 50.94 V.upf
Ni 58.69 Ni.upf
Ge 72.64 Ge.upf
Sb 121.76 Sb.upf
CELL_PARAMETERS angstrom
4.436 0.000 0.000
0.000 4.436 0.000
0.000 0.000 5.001
ATOMIC_POSITIONS angstrom
V 0.000 0.000 0.000
Ni 0.000 2.218 0.000
Ni 2.218 0.000 0.000
Ge 2.218 2.218 2.500
Sb 0.000 0.000 2.500
```

Results
Its symmetry is P4/mmm. The density of states at the Fermi level comes out at 3.95 states/eV per cell. Its energy relative to the elements, uncorrected is 0.872 eV per atom.

(10)
This record from the Alexandria database describes a relaxed CrP crystal. The functional is GGA-PBE. Values from VASP.

Structure (Quantum ESPRESSO input):
```
&SYSTEM
  ibrav = 0, nat = 16, ntyp = 2
/
ATOMIC_SPECIES
Cr 52.00 Cr.upf
P 30.97 P.upf
CELL_PARAMETERS angstrom
5.797 0.000 0.000
0.000 5.834 0.000
0.000 0.000 5.945
ATOMIC_POSITIONS angstrom
Cr 0.013 0.431 1.082
Cr 0.990 4.349 5.567
Cr 1.908 1.485 2.595
Cr 2.886 5.403 4.055
Cr 2.911 2.486 4.863
Cr 3.889 4.402 0.378
Cr 4.806 1.432 3.350
Cr 5.784 3.348 1.890
P 0.858 0.664 4.646
P 1.288 2.213 0.453
P 1.610 3.621 3.426
P 2.041 5.170 1.673
P 3.756 2.253 1.300
P 4.187 0.704 5.492
P 4.509 5.130 2.519
P 4.939 3.581 4.272
```

Results
Its symmetry is P2_12_12_1. The value obtained for the formation energy from the elements is -0.3181 eV per atom. The density of states at the Fermi level comes out at 15.07 states/eV per cell.

(11)
This record from the Alexandria database describes a relaxed YMoAs crystal. The functional is GGA-PBE. Values from VASP.

Structure (Quantum ESPRESSO input):
```
&SYSTEM
  ibrav = 0, nat = 3, ntyp = 3
/
ATOMIC_SPECIES
Y 88.91 Y.upf
Mo 95.94 Mo.upf
As 74.92 As.upf
CELL_PARAMETERS angstrom
3.573 0.000 0.000
-1.786 3.094 0.000
0.000 0.000 5.797
ATOMIC_POSITIONS angstrom
Y 0.000 0.000 0.000
Mo 1.786 1.031 3.450
As 0.000 2.063 2.021
```

Results
Its symmetry is P3m1. The value obtained for the formation energy from the elements is -0.2102 eV per atom. The density of states at the Fermi level comes out at 2.20 states/eV per cell.

(12)
This record from the Alexandria database describes a relaxed TaAgBi3 crystal. The functional is GGA-PBE. Values from VASP.

Structure (Quantum ESPRESSO input):
```
&SYSTEM
  ibrav = 0, nat = 5, ntyp = 3
/
ATOMIC_SPECIES
Ta 180.95 Ta.upf
Ag 107.87 Ag.upf
Bi 208.98 Bi.upf
CELL_PARAMETERS angstrom
5.492 0.000 0.000
0.000 5.492 0.000
0.000 0.000 5.492
ATOMIC_POSITIONS angstrom
Ta 0.000 0.000 0.000
Ag 2.746 2.746 2.746
Bi 0.000 0.000 2.746
Bi 0.000 2.746 0.000
Bi 2.746 0.000 0.000
```

Results
Its symmetry is Pm-3m. The value obtained for the formation energy from the elements is 0.6527 eV per atom. The density of states at the Fermi level comes out at 2.99 states/eV per cell.